14
Lattice="-3.8160 -3.8748 1.1140 1.5589 -4.3593 4.0087 -3.4875 0.8828 4.9560" Properties=species:S:1:pos:R:3 comment="YAgCO4 | Alexandria via LeMat-Bulk | PBE | relaxed" total_energy_ev_per_atom=-6.984 space_group=Imma formation_energy_uncorrected_ev_per_atom=-1.502 magnetic_moment_mub_per_cell=0.000 pbc="T T T"
O -5.0159 -3.2727 5.6000
Ag -3.6517 -1.4960 3.0350
O -4.7091 -5.0055 7.9537
O -1.0355 -2.3458 2.1250
O -2.7965 -4.2522 3.2933
O -0.7287 -4.0786 4.4787
O -3.2221 -1.4513 5.0763
C -3.8773 -2.3110 6.3434
Y -0.9643 -1.7383 4.4824
Y 0.0000 0.0000 0.0000
C -1.8673 -5.0403 3.7352
O -2.5225 -5.9000 5.0023
O -2.9481 -3.0991 6.7853
Ag -1.7438 0.4414 2.4780